[1]
Material: LiLuThNi
Method: DFT, GGA-PBE
State: relaxed

Output
The total energy is -4.9672 eV/atom. Its symmetry is F-43m (216). Its crystal system is cubic. The energy relative to the elements comes out at -0.058 eV per atom.

a b c (Å): 4.947 4.947 4.947
angles (deg): 60.00 60.00 60.00
Element x y z (fractional)
Li  0.000  0.000  0.000
Lu  0.750  0.750  0.750
Th  0.250  0.250  0.250
Ni  0.500  0.500  0.500

=====

[2]
Material: LiLuZnNi
Method: DFT, GGA-PBE
State: relaxed

Output
The total energy is -3.5996 eV/atom. Its symmetry is F-43m (216). Its crystal system is cubic. The energy relative to the elements comes out at -0.227 eV per atom.

a b c (Å): 4.486 4.486 4.486
angles (deg): 60.00 60.00 60.00
Element x y z (fractional)
Li  0.000  0.000  0.000
Lu  0.750  0.750  0.750
Zn  0.250  0.250  0.250
Ni  0.500  0.500  0.500

=====

[3]
Material: LiLu3O
Method: DFT, GGA-PBE
State: relaxed

Output
For the formation energy without anion corrections, the calculation gives -1.01 eV per atom. The total energy is -5.0943 eV/atom. Its symmetry is Pm-3m (221). Its crystal system is cubic.

a b c (Å): 4.684 4.684 4.684
angles (deg): 90.00 90.00 90.00
Element x y z (fractional)
Li  0.000  0.000  0.000
Lu  0.000  0.500  0.500
Lu  0.500  0.000  0.500
Lu  0.500  0.500  0.000
O  0.500  0.500  0.500

=====

[4]
Material: LiLuO2
Method: DFT, GGA-PBE
State: relaxed

Output
For the formation energy without anion corrections, the calculation gives -2.97 eV per atom. The total energy is -7.0553 eV/atom. Its symmetry is R-3m (166). Its crystal system is trigonal.

a b c (Å): 5.364 5.364 5.364
angles (deg): 35.54 35.54 35.54
Element x y z (fractional)
Li  0.000  0.000  0.000
Lu  0.500  0.500  0.500
O  0.244  0.244  0.244
O  0.756  0.756  0.756

=====

[5]
Material: LiLuO2
Method: DFT, GGA-PBE
State: relaxed

Output
For the formation energy without anion corrections, the calculation gives -3.04 eV per atom. The total energy is -7.1232 eV/atom. Its symmetry is I4_1/amd (141). Its crystal system is tetragonal.

a b c (Å): 5.919 5.919 5.919
angles (deg): 136.88 136.88 62.63
Element x y z (fractional)
Li  0.375  0.625  0.750
Li  0.625  0.375  0.250
Lu  0.125  0.875  0.250
Lu  0.875  0.125  0.750
O  0.097  0.347  0.750
O  0.347  0.097  0.250
O  0.653  0.903  0.750
O  0.903  0.653  0.250

=====

[6]
Material: LiLuPaOs
Method: DFT, GGA-PBE
State: relaxed

Output
The total energy is -6.9250 eV/atom. Its symmetry is F-43m (216). Its crystal system is cubic. The energy relative to the elements comes out at -0.135 eV per atom.

a b c (Å): 4.855 4.855 4.855
angles (deg): 60.00 60.00 60.00
Element x y z (fractional)
Li  0.000  0.000  0.000
Lu  0.750  0.750  0.750
Pa  0.250  0.250  0.250
Os  0.500  0.500  0.500

=====

[7]
Material: LiPmLuOs
Method: DFT, GGA-PBE
State: relaxed

Output
The total energy is -5.8031 eV/atom. Its symmetry is F-43m (216). Its crystal system is cubic. The energy relative to the elements comes out at -0.199 eV per atom.

a b c (Å): 4.911 4.911 4.911
angles (deg): 60.00 60.00 60.00
Element x y z (fractional)
Li  0.000  0.000  0.000
Pm  0.750  0.750  0.750
Lu  0.250  0.250  0.250
Os  0.500  0.500  0.500

=====

[8]
Material: LiLuScOs
Method: DFT, GGA-PBE
State: relaxed

Output
The total energy is -6.3127 eV/atom. Its symmetry is F-43m (216). Its crystal system is cubic. The energy relative to the elements comes out at -0.314 eV per atom.

a b c (Å): 4.708 4.708 4.708
angles (deg): 60.00 60.00 60.00
Element x y z (fractional)
Li  0.000  0.000  0.000
Lu  0.750  0.750  0.750
Sc  0.250  0.250  0.250
Os  0.500  0.500  0.500

=====

[9]
Material: LiLuSnOs
Method: DFT, GGA-PBE
State: relaxed

Output
The total energy is -5.7062 eV/atom. Its symmetry is F-43m (216). Its crystal system is cubic. The energy relative to the elements comes out at -0.289 eV per atom.

a b c (Å): 4.681 4.681 4.681
angles (deg): 60.00 60.00 60.00
Element x y z (fractional)
Li  0.000  0.000  0.000
Lu  0.750  0.750  0.750
Sn  0.250  0.250  0.250
Os  0.500  0.500  0.500

=====

[10]
Material: LiLuThOs
Method: DFT, GGA-PBE
State: relaxed

Output
The total energy is -6.5160 eV/atom. Its symmetry is F-43m (216). Its crystal system is cubic. The energy relative to the elements comes out at -0.245 eV per atom.

a b c (Å): 4.957 4.957 4.957
angles (deg): 60.00 60.00 60.00
Element x y z (fractional)
Li  0.000  0.000  0.000
Lu  0.250  0.250  0.250
Th  0.750  0.750  0.750
Os  0.500  0.500  0.500

=====

[11]
Material: LiYLuOs
Method: DFT, GGA-PBE
State: relaxed

Output
The total energy is -6.2893 eV/atom. Its symmetry is F-43m (216). Its crystal system is cubic. The energy relative to the elements comes out at -0.257 eV per atom.

a b c (Å): 4.856 4.856 4.856
angles (deg): 60.00 60.00 60.00
Element x y z (fractional)
Li  0.000  0.000  0.000
Y  0.250  0.250  0.250
Lu  0.750  0.750  0.750
Os  0.500  0.500  0.500

=====

[12]
Material: LiLuZrOs
Method: DFT, GGA-PBE
State: relaxed

Output
The total energy is -6.8655 eV/atom. Its symmetry is F-43m (216). Its crystal system is cubic. The energy relative to the elements comes out at -0.312 eV per atom.

a b c (Å): 4.727 4.727 4.727
angles (deg): 60.00 60.00 60.00
Element x y z (fractional)
Li  0.000  0.000  0.000
Lu  0.250  0.250  0.250
Zr  0.750  0.750  0.750
Os  0.500  0.500  0.500

=====

[13]
Material: LiLuP
Method: DFT, GGA-PBE
State: relaxed

Output
The total energy is -4.8380 eV/atom. Its symmetry is F-43m (216). Its crystal system is cubic. The energy relative to the elements comes out at -0.890 eV per atom.

a b c (Å): 4.383 4.383 4.383
angles (deg): 60.00 60.00 60.00
Element x y z (fractional)
Li  0.000  0.000  0.000
Lu  0.500  0.500  0.500
P  0.750  0.750  0.750

=====

[14]
Material: LiLuPaRe
Method: DFT, GGA-PBE
State: relaxed

Output
The total energy is -7.0545 eV/atom. Its symmetry is F-43m (216). Its crystal system is cubic. The energy relative to the elements comes out at 0.040 eV per atom.

a b c (Å): 4.869 4.869 4.869
angles (deg): 60.00 60.00 60.00
Element x y z (fractional)
Li  0.000  0.000  0.000
Lu  0.250  0.250  0.250
Pa  0.750  0.750  0.750
Re  0.500  0.500  0.500

=====

[15]
Material: LiLuPaRh
Method: DFT, GGA-PBE
State: relaxed

Output
The total energy is -6.0290 eV/atom. Its symmetry is F-43m (216). Its crystal system is cubic. The energy relative to the elements comes out at -0.208 eV per atom.

a b c (Å): 4.880 4.880 4.880
angles (deg): 60.00 60.00 60.00
Element x y z (fractional)
Li  0.000  0.000  0.000
Lu  0.250  0.250  0.250
Pa  0.750  0.750  0.750
Rh  0.500  0.500  0.500